(1)
First-principles (PBE) data for crystalline Na2CdPt2O6 at its relaxed geometry, as listed in the Alexandria database.

Geometry as CIF:
```
data_Na2CdPt2O6
_cell_length_a 5.613
_cell_length_b 5.613
_cell_length_c 5.760
_cell_angle_alpha 99.00
_cell_angle_beta 99.00
_cell_angle_gamma 121.32
_space_group_name_H-M_alt 'P 1'
_space_group_IT_number 1
_space_group_name_Hall 'P 1'
loop_
_atom_site_label
_atom_site_fract_x
_atom_site_fract_y
_atom_site_fract_z
Na1 0.836 0.164 0.000
Pt1 0.665 0.335 0.500
O1 0.427 0.057 0.697
O2 0.293 0.293 0.301
Cd1 0.000 0.000 0.500
O3 0.573 0.943 0.303
Na2 0.164 0.836 0.000
O4 0.943 0.573 0.303
Pt2 0.335 0.665 0.500
O5 0.707 0.707 0.699
O6 0.057 0.427 0.697
```

Values from the calculation:
SG: C2/m (12)
Calculated volume: 147 Å³/f.u.
Raw formation energy: -0.960 eV/atom
VASP energy: -5.086 eV/atom
Size of the total moment: 0.00 μB/atom

(2)
First-principles (PBE) data for crystalline BaCeCoN2 at its relaxed geometry, as listed in the Alexandria database.

Geometry as CIF:
```
data_BaCeCoN2
_cell_length_a 4.490
_cell_length_b 6.264
_cell_length_c 7.078
_cell_angle_alpha 103.87
_cell_angle_beta 90.00
_cell_angle_gamma 90.00
_space_group_name_H-M_alt 'P 1'
_space_group_IT_number 1
_space_group_name_Hall 'P 1'
loop_
_atom_site_label
_atom_site_fract_x
_atom_site_fract_y
_atom_site_fract_z
Ce1 0.467 0.000 0.250
Ba1 0.826 0.500 0.250
Co1 0.000 0.000 0.500
Co2 0.000 0.000 0.000
Ce2 0.533 0.000 0.750
Ba2 0.174 0.500 0.750
N1 0.707 0.215 0.533
N2 0.293 0.215 0.033
N3 0.707 0.785 0.967
N4 0.293 0.785 0.467
```

Values from the calculation:
SG: P2/c (13)
Calculated volume: 97 Å³/f.u.
Raw formation energy: -0.621 eV/atom
VASP energy: -6.943 eV/atom
Size of the total moment: 0.21 μB/atom

(3)
First-principles (PBE) data for crystalline Be2NbFe at its relaxed geometry, as listed in the Alexandria database.

Geometry as CIF:
```
data_Be2NbFe
_cell_length_a 3.969
_cell_length_b 3.969
_cell_length_c 3.969
_cell_angle_alpha 60.00
_cell_angle_beta 60.00
_cell_angle_gamma 60.00
_space_group_name_H-M_alt 'P 1'
_space_group_IT_number 1
_space_group_name_Hall 'P 1'
loop_
_atom_site_label
_atom_site_fract_x
_atom_site_fract_y
_atom_site_fract_z
Fe1 0.000 0.000 0.000
Nb1 0.500 0.500 0.500
Be1 0.750 0.750 0.750
Be2 0.250 0.250 0.250
```

Values from the calculation:
SG: Fm-3m (225)
Calculated volume: 44 Å³/f.u.
Energy of formation: 1 meV/atom
VASP energy: -6.495 eV/atom
Size of the total moment: 0.00 μB/atom
Energy relative to the lowest polymorph listed for this composition: 76 meV per atom

(4)
First-principles (PBE) data for crystalline TbSm2YN4 at its relaxed geometry, as listed in the Alexandria database.

Geometry as CIF:
```
data_TbSm2YN4
_cell_length_a 3.539
_cell_length_b 6.127
_cell_length_c 6.129
_cell_angle_alpha 109.43
_cell_angle_beta 90.00
_cell_angle_gamma 90.00
_space_group_name_H-M_alt 'P 1'
_space_group_IT_number 1
_space_group_name_Hall 'P 1'
loop_
_atom_site_label
_atom_site_fract_x
_atom_site_fract_y
_atom_site_fract_z
N1 0.500 0.248 0.244
N2 0.000 0.748 0.244
N3 0.500 0.752 0.756
Tb1 0.500 0.500 0.000
N4 0.000 0.252 0.756
Sm1 0.000 0.500 0.500
Y1 0.000 0.000 0.000
Sm2 0.500 0.000 0.500
```

Values from the calculation:
SG: P2/m (10)
Calculated volume: 125 Å³/f.u.
Raw formation energy: -1.574 eV/atom
VASP energy: -8.303 eV/atom
Size of the total moment: 0.00 μB/atom

(5)
First-principles (PBE) data for crystalline AcPu2Fe at its relaxed geometry, as listed in the Alexandria database.

Geometry as CIF:
```
data_AcPu2Fe
_cell_length_a 3.508
_cell_length_b 3.508
_cell_length_c 8.569
_cell_angle_alpha 90.00
_cell_angle_beta 90.00
_cell_angle_gamma 90.00
_space_group_name_H-M_alt 'P 1'
_space_group_IT_number 1
_space_group_name_Hall 'P 1'
loop_
_atom_site_label
_atom_site_fract_x
_atom_site_fract_y
_atom_site_fract_z
Pu1 0.000 0.000 0.823
Pu2 0.000 0.000 0.177
Ac1 0.500 0.500 0.500
Fe1 0.500 0.500 0.000
```

Values from the calculation:
SG: P4/mmm (123)
Calculated volume: 105 Å³/f.u.
Energy of formation: 207 meV/atom
VASP energy: -10.102 eV/atom
Size of the total moment: 2.34 μB/atom
Energy relative to the lowest polymorph listed for this composition: 0 meV per atom

(6)
First-principles (PBE) data for crystalline Pm2NdY2 at its relaxed geometry, as listed in the Alexandria database.

Geometry as CIF:
```
data_Pm2NdY2
_cell_length_a 3.642
_cell_length_b 3.639
_cell_length_c 16.502
_cell_angle_alpha 63.86
_cell_angle_beta 83.66
_cell_angle_gamma 59.97
_space_group_name_H-M_alt 'P 1'
_space_group_IT_number 1
_space_group_name_Hall 'P 1'
loop_
_atom_site_label
_atom_site_fract_x
_atom_site_fract_y
_atom_site_fract_z
Y1 0.299 0.703 0.699
Y2 0.701 0.297 0.301
Nd1 0.500 0.500 0.500
Pm1 0.764 0.574 0.897
Pm2 0.236 0.426 0.103
```

Values from the calculation:
SG: R-3m (166)
Calculated volume: 168 Å³/f.u.
Energy of formation: 0 meV/atom
VASP energy: -5.439 eV/atom
Size of the total moment: 0.00 μB/atom
Energy relative to the lowest polymorph listed for this composition: 0 meV per atom

(7)
First-principles (PBE) data for crystalline H5Pd7 at its relaxed geometry, as listed in the Alexandria database.

Geometry as CIF:
```
data_H5Pd7
_cell_length_a 2.836
_cell_length_b 4.906
_cell_length_c 9.515
_cell_angle_alpha 105.18
_cell_angle_beta 90.00
_cell_angle_gamma 106.80
_space_group_name_H-M_alt 'P 1'
_space_group_IT_number 1
_space_group_name_Hall 'P 1'
loop_
_atom_site_label
_atom_site_fract_x
_atom_site_fract_y
_atom_site_fract_z
H1 0.889 0.779 0.600
Pd1 0.350 0.699 0.937
H2 0.332 0.664 0.135
H3 0.111 0.221 0.400
Pd2 0.500 0.000 0.500
H4 0.000 0.000 0.000
Pd3 0.042 0.084 0.781
H5 0.668 0.336 0.865
Pd4 0.270 0.540 0.636
Pd5 0.730 0.460 0.364
Pd6 0.958 0.916 0.219
Pd7 0.650 0.301 0.063
```

Values from the calculation:
SG: C2/m (12)
Calculated volume: 122 Å³/f.u.
VASP energy: -4.476 eV/atom
Size of the total moment: 0.00 μB/atom

(8)
First-principles (PBE) data for crystalline TeRhCl2 at its relaxed geometry, as listed in the Alexandria database.

Geometry as CIF:
```
data_TeRhCl2
_cell_length_a 4.825
_cell_length_b 4.825
_cell_length_c 4.825
_cell_angle_alpha 60.00
_cell_angle_beta 60.00
_cell_angle_gamma 60.00
_space_group_name_H-M_alt 'P 1'
_space_group_IT_number 1
_space_group_name_Hall 'P 1'
loop_
_atom_site_label
_atom_site_fract_x
_atom_site_fract_y
_atom_site_fract_z
Rh1 0.000 0.000 0.000
Te1 0.500 0.500 0.500
Cl1 0.250 0.250 0.250
Cl2 0.750 0.750 0.750
```

Values from the calculation:
SG: Fm-3m (225)
Calculated volume: 79 Å³/f.u.
Raw formation energy: 0.617 eV/atom
VASP energy: -2.929 eV/atom
Size of the total moment: 0.00 μB/atom
Energy relative to the lowest polymorph listed for this composition: 1028 meV per atom